# 1
Compound: K2Au2Se
Source: Alexandria
Functional: meta-GGA SCAN
Structure: single point on PBEsol structure

Its formation energy from raw total energies is -0.6545 eV per atom.

The structure belongs to space group I4/mmm (No. 139); the cell edges are 6.3400, 6.3400 and 7.4779 Å and the angles 90.00°, 90.00° and 90.00°. Symmetry generates all atoms from K at (0.0000, 0.5000, 0.2500), Au at (0.0000, 0.0000, 0.1687) and Se at (0.0000, 0.0000, 0.5000).

# 2
Compound: KAu2Se
Source: Alexandria
Functional: meta-GGA SCAN
Structure: single point on PBEsol structure

Its formation energy from raw total energies is -0.0791 eV per atom.

The structure belongs to space group P4mm (No. 99); the cell edges are 3.4849, 3.4849 and 7.4302 Å and the angles 90.00°, 90.00° and 90.00°. Symmetry generates all atoms from K at (0.0000, 0.0000, 0.0000), Au at (0.0000, 0.0000, 0.5068), Au at (0.5000, 0.5000, 0.6768) and Se at (0.5000, 0.5000, 0.3014).

# 3
Compound: K2AuSe
Source: Alexandria
Functional: meta-GGA SCAN
Structure: single point on PBEsol structure

Its formation energy from raw total energies is -0.5167 eV per atom.

The structure belongs to space group F-43m (No. 216); the cell edges are 7.4480, 7.4480 and 7.4480 Å and the angles 90.00°, 90.00° and 90.00°. Symmetry generates all atoms from K at (0.0000, 0.0000, 0.0000), K at (0.2500, 0.2500, 0.2500), Au at (0.2500, 0.2500, 0.7500) and Se at (0.0000, 0.0000, 0.5000).

# 4
Compound: K2AuSe
Source: Alexandria
Functional: meta-GGA SCAN
Structure: single point on PBEsol structure

Its formation energy from raw total energies is -0.6982 eV per atom.

The structure belongs to space group P4/mmm (No. 123); the cell edges are 5.9277, 5.9277 and 2.9921 Å and the angles 90.00°, 90.00° and 90.00°. Symmetry generates all atoms from K at (0.0000, 0.5000, 0.0000), Au at (0.0000, 0.0000, 0.5000) and Se at (0.5000, 0.5000, 0.5000).

# 5
Compound: KAu2Se
Source: Alexandria
Functional: meta-GGA SCAN
Structure: single point on PBEsol structure

Its formation energy from raw total energies is -0.0107 eV per atom.

The structure belongs to space group P4/mmm (No. 123); the cell edges are 4.2212, 4.2212 and 4.6374 Å and the angles 90.00°, 90.00° and 90.00°. Symmetry generates all atoms from K at (0.0000, 0.0000, 0.0000), Au at (0.0000, 0.5000, 0.5000) and Se at (0.5000, 0.5000, 0.0000).

# 6
Compound: K2AuSe
Source: Alexandria
Functional: meta-GGA SCAN
Structure: single point on PBEsol structure

Its formation energy from raw total energies is -0.4504 eV per atom.

The structure belongs to space group P4/mmm (No. 123); the cell edges are 4.6352, 4.6352 and 6.5956 Å and the angles 90.00°, 90.00° and 90.00°. Symmetry generates all atoms from K at (0.0000, 0.0000, 0.0000), K at (0.5000, 0.5000, 0.5000), Au at (0.0000, 0.0000, 0.5000) and Se at (0.5000, 0.5000, 0.0000).